Entry 1:
Here is an optimized crystal structure of MgCuRhF6 from the Alexandria database. Energies are from PBE.

Cell: 4.820 4.820 9.594 Å, 90.00 90.00 90.00°
Space group P4_2nm (No. 102)
Symmetry-distinct sites (fractional):
1 Mg 0.000 0.000 0.000
2 Cu 0.000 0.000 0.670
3 Rh 0.000 0.000 0.335
4 F 0.190 0.190 0.168
5 F 0.198 0.198 0.840
6 F 0.203 0.203 0.496

Computed properties:
Crystal system: tetragonal
Uncorrected formation energy in eV/atom: -2.066
Total DFT energy (no corrections) in eV/atom: -4.763

---

Entry 2:
Here is an optimized crystal structure of TlCu2Pd6 from the Alexandria database. Energies are from PBE.

Cell: 8.638 4.019 8.354 Å, 90.00 105.51 90.00°
Space group C2/m (No. 12)
Symmetry-distinct sites (fractional):
1 Tl 0.000 0.000 0.000
2 Cu 0.180 0.500 0.238
3 Pd 0.005 0.000 0.334
4 Pd 0.164 0.500 0.884
5 Pd 0.166 0.500 0.553

Computed properties:
Crystal system: monoclinic
Total DFT energy (no corrections) in eV/atom: -4.740
DFT formation energy in meV/atom: -105
Polymorph energy (0 for the lowest one) in eV per atom: 0.000

---

Entry 3:
Here is an optimized crystal structure of MnCo2Os from the Alexandria database. Energies are from PBE.

Cell: 3.591 3.591 7.251 Å, 90.00 90.00 90.00°
Space group I4/mmm (No. 139)
Symmetry-distinct sites (fractional):
1 Mn 0.000 0.000 0.000
2 Co 0.000 0.500 0.250
3 Os 0.000 0.000 0.500

Computed properties:
Crystal system: tetragonal
Total DFT energy (no corrections) in eV/atom: -8.589
DFT formation energy in meV/atom: 63
Polymorph energy (0 for the lowest one) in eV per atom: 0.004

---

Entry 4:
Here is an optimized crystal structure of Rb4Nd3PaSe8 from the Alexandria database. Energies are from PBE.

Cell: 8.6905 8.6905 24.1219 Å, 90.00 90.00 120.00°
Space group R-3m (No. 166, hexagonal axes)
Symmetry-distinct sites (fractional):
1 Rb 0.0000 0.0000 0.0000
2 Rb 0.0000 0.5000 0.0000
3 Nd 0.0000 0.5000 0.5000
4 Pa 0.0000 0.0000 0.5000
5 Se 0.0000 0.0000 0.2345
6 Se 0.0083 0.5041 0.2336

Computed properties:
Crystal system: trigonal
Uncorrected formation energy in eV/atom: -1.612
Total DFT energy (no corrections) in eV/atom: -5.084

---

Entry 5:
Here is an optimized crystal structure of Ce2TeI3 from the Alexandria database. Energies are from PBE.

Cell: 11.284 4.434 12.712 Å, 90.00 113.65 90.00°
Space group P2_1/m (No. 11)
Symmetry-distinct sites (fractional):
1 Ce 0.029 0.250 0.337
2 Ce 0.197 0.250 0.114
3 Te 0.010 0.750 0.150
4 I 0.162 0.250 0.619
5 I 0.325 0.250 0.384
6 I 0.370 0.750 0.066

Computed properties:
Crystal system: monoclinic
Uncorrected formation energy in eV/atom: -1.280
Total DFT energy (no corrections) in eV/atom: -4.556

---

Entry 6:
Here is an optimized crystal structure of BaNiSb2 from the Alexandria database. Energies are from PBE.

Cell: 4.703 4.702 5.576 Å, 90.00 90.01 90.00°
Space group Pm (No. 6)
Symmetry-distinct sites (fractional):
1 Ba 0.000 0.000 0.000
2 Ni 0.498 0.500 0.673
3 Sb 0.500 0.000 0.501
4 Sb 0.999 0.500 0.501

Computed properties:
Crystal system: monoclinic
Uncorrected formation energy in eV/atom: -0.444
Total DFT energy (no corrections) in eV/atom: -4.431